Entry 1:
Pm2TmGe4Rh3 | PBE | relaxed

Results
- Formation enthalpy at 0 K: -18.8 kcal/mol of atoms
- Total magnetic moment: 0.0 μB/f.u.

abc: 4.2499 4.2499 11.0631
angles: 90.00 90.00 90.00
Positions (direct):
Pm (0.0000, 0.5000, 0.2295)
Pm (0.5000, 0.0000, 0.7705)
Tm (0.0000, 0.0000, 0.5000)
Ge (0.0000, 0.0000, 0.0000)
Ge (0.0000, 0.5000, 0.6651)
Ge (0.5000, 0.0000, 0.3349)
Ge (0.5000, 0.5000, 0.0000)
Rh (0.0000, 0.5000, 0.8851)
Rh (0.5000, 0.0000, 0.1149)
Rh (0.5000, 0.5000, 0.5000)

=====

Entry 2:
PmTmGeRh | PBE | relaxed

Results
- Formation enthalpy at 0 K: -15.9 kcal/mol of atoms
- Total magnetic moment: 0.0 μB/f.u.

abc: 4.9871 4.9871 4.9871
angles: 60.00 60.00 60.00
Positions (direct):
Pm (0.0000, 0.0000, 0.0000)
Tm (0.5000, 0.5000, 0.5000)
Ge (0.7500, 0.7500, 0.7500)
Rh (0.2500, 0.2500, 0.2500)